# TcRu2Se

TcRu2Se after structural relaxation (PBE, the Alexandria database).

For the energy relative to the elements, uncorrected, the calculation gives 23.42 kJ per mole of atoms. The calculated density comes out at 10.7 g/cm³. The volume comes out at 58.8 Å³ per cell. As for the density of states at the Fermi level: 0.8519 states/eV per atom.

The space group is P2/m (No. 10) and the conventional cell measures 2.8889, 4.0255 and 5.2326 Å, with angles of 90.00, 104.90 and 90.00 degrees. Symmetry generates all atoms from Tc at (0.0000, 0.0000, 0.0000), Ru at (0.3745, 0.5000, 0.7445) and Se at (0.0000, 0.0000, 0.5000).